[1]
# PBE-GGA AlNiW4, relaxed
# E_tot   -57.5 eV per cell
# Formation energy   645 meV per atom
# Symmetry   F-43m, No. 216
data_AlNiW4
_chemical_formula_sum 'Al1 Ni1 W4'
_cell_length_a 5.234
_cell_length_b 5.234
_cell_length_c 5.234
_cell_angle_alpha 60.00
_cell_angle_beta 60.00
_cell_angle_gamma 60.00
_symmetry_space_group_name_H-M 'P 1'
_symmetry_Int_Tables_number 1
loop_
_symmetry_equiv_pos_as_xyz
'x,y,z'
loop_
_atom_site_label
_atom_site_fract_x
_atom_site_fract_y
_atom_site_fract_z
_atom_site_occupancy
Al1 0.000 0.000 0.000 1
Ni1 0.750 0.750 0.750 1
W1 0.375 0.375 0.375 1
W2 0.375 0.375 0.875 1
W3 0.375 0.875 0.375 1
W4 0.875 0.375 0.375 1

=====

[2]
# PBE-GGA AlNiW2, relaxed
# E_tot   -35.1 eV per cell
# Formation energy   85 meV per atom
# Symmetry   Pmm2, No. 25
data_AlNiW2
_chemical_formula_sum 'Al1 Ni1 W2'
_cell_length_a 2.684
_cell_length_b 3.913
_cell_length_c 5.604
_cell_angle_alpha 90.00
_cell_angle_beta 90.00
_cell_angle_gamma 90.00
_symmetry_space_group_name_H-M 'P 1'
_symmetry_Int_Tables_number 1
loop_
_symmetry_equiv_pos_as_xyz
'x,y,z'
loop_
_atom_site_label
_atom_site_fract_x
_atom_site_fract_y
_atom_site_fract_z
_atom_site_occupancy
Al1 0.000 0.000 0.000 1
Ni1 0.500 0.500 0.218 1
W1 0.000 0.000 0.481 1
W2 0.500 0.500 0.738 1

=====

[3]
# PBE-GGA AlNiW2, relaxed
# E_tot   -70.3 eV per cell
# Formation energy   67 meV per atom
# Symmetry   Cm, No. 8
data_AlNiW2
_chemical_formula_sum 'Al2 Ni2 W4'
_cell_length_a 9.056
_cell_length_b 2.693
_cell_length_c 4.844
_cell_angle_alpha 90.00
_cell_angle_beta 98.01
_cell_angle_gamma 90.00
_symmetry_space_group_name_H-M 'P 1'
_symmetry_Int_Tables_number 1
loop_
_symmetry_equiv_pos_as_xyz
'x,y,z'
loop_
_atom_site_label
_atom_site_fract_x
_atom_site_fract_y
_atom_site_fract_z
_atom_site_occupancy
Al1 0.000 0.000 0.000 1
Al2 0.500 0.500 0.000 1
Ni1 0.258 0.000 0.780 1
Ni2 0.758 0.500 0.780 1
W1 0.019 0.500 0.515 1
W2 0.258 0.500 0.263 1
W3 0.519 0.000 0.515 1
W4 0.758 0.000 0.263 1

=====

[4]
# PBE-GGA AlNiW2, relaxed
# E_tot   -140.6 eV per cell
# Formation energy   69 meV per atom
# Symmetry   F-43m, No. 216
data_AlNiW2
_chemical_formula_sum 'Al4 Ni4 W8'
_cell_length_a 6.168
_cell_length_b 6.168
_cell_length_c 6.168
_cell_angle_alpha 90.00
_cell_angle_beta 90.00
_cell_angle_gamma 90.00
_symmetry_space_group_name_H-M 'P 1'
_symmetry_Int_Tables_number 1
loop_
_symmetry_equiv_pos_as_xyz
'x,y,z'
loop_
_atom_site_label
_atom_site_fract_x
_atom_site_fract_y
_atom_site_fract_z
_atom_site_occupancy
Al1 0.000 0.000 0.000 1
Al2 0.000 0.500 0.500 1
Al3 0.500 0.000 0.500 1
Al4 0.500 0.500 0.000 1
Ni1 0.250 0.250 0.250 1
Ni2 0.250 0.750 0.750 1
Ni3 0.750 0.250 0.750 1
Ni4 0.750 0.750 0.250 1
W1 0.000 0.000 0.500 1
W2 0.000 0.500 0.000 1
W3 0.250 0.250 0.750 1
W4 0.250 0.750 0.250 1
W5 0.500 0.000 0.000 1
W6 0.500 0.500 0.500 1
W7 0.750 0.250 0.250 1
W8 0.750 0.750 0.750 1